Here is CuSnTePd2 at its PBEsol-relaxed geometry from the Alexandria database. Energies are from SCAN.

Output
Volume (Å³/atom): 26.38
Uncorrected energy (eV for the cell shown): -149.29
Fermi-level density of states (states/eV per cell): 2.35
Magnetic moment (μB/cell): 0.0

Lattice parameters (Å, degrees): 4.8613 4.8613 5.5818 90.00 90.00 90.00
Space group P4/mmm (No. 123)
Symmetry-distinct sites (fractional):
Cu 0.0000 0.0000 0.0000 [1 per cell]
Sn 0.5000 0.5000 0.5000 [1 per cell]
Te 0.5000 0.5000 0.0000 [1 per cell]
Pd 0.0000 0.5000 0.5000 [2 per cell]